1.
The following is a PBE calculation of Rb2Bi2SbSe6 after structural relaxation, from Alexandria.

Structure (POSCAR):
```
Rb2Bi2SbSe6
1.0
7.2471 -0.0068 0.0491
-3.5878 6.2967 0.0491
-1.3208 -2.2703 8.3133
Rb Bi Sb Se
2 2 1 6
Cartesian
5.4001 1.0678 0.0491
-1.7408 5.2222 0.0491
-0.6603 3.0742 4.2057
2.9988 0.9454 4.2057
-0.6604 -1.1352 4.1566
1.8371 3.1577 5.8583
-1.8051 0.8497 5.8188
0.5014 0.8619 2.5531
1.6309 -1.1493 5.8188
4.1436 3.1699 2.5926
0.7076 5.1688 2.5926
```

The total energy is -3.766 eV/atom. Its uncorrected formation energy is -6.7 eV per formula unit. As for the space-group type: No. 12.


2.
The following is a PBE calculation of ScInRu2I after structural relaxation, from Alexandria.

Structure (POSCAR):
```
ScInRu2I
1.0
-2.9509 -3.1491 -2.1704
4.0413 -1.1706 -3.7960
1.6612 -3.5246 2.8554
I Ru Sc In
1 2 1 1
Cartesian
1.3758 -3.9222 -1.5555
0.8306 -1.7623 1.4277
-1.4754 -1.5746 -1.0852
0.0000 0.0000 0.0000
2.0206 -0.5853 -1.8980
```

The total energy is -4.682 eV/atom. Its uncorrected formation energy is 5.8 eV per formula unit. As for the space-group type: No. 123.


3.
The following is a PBE calculation of Pm3Pt3Au after structural relaxation, from Alexandria.

Structure (POSCAR):
```
Pm3Pt3Au
1.0
-2.7865 4.9875 0.3804
-7.6546 -4.2224 -0.7106
3.5342 1.3713 7.9092
Pm Pt Au
6 6 2
Cartesian
-4.9917 1.7766 4.7797
-4.7901 2.2275 0.3443
-8.2628 0.1443 2.2198
-1.9152 0.3598 2.7992
-2.1168 -0.0911 7.2347
1.3559 1.9921 5.3592
-3.6610 -0.7749 4.8891
-3.1363 -0.1147 0.0758
-7.0676 -2.4432 1.8084
-3.2459 2.9114 2.6899
-3.7706 2.2511 7.5032
0.1607 4.5796 5.7706
-4.6217 -1.1109 2.2578
-2.2853 3.2474 5.3212
```

As for the formation energy: -0.8131 eV/atom. The total energy is -5.906 eV/atom. As for the space-group type: No. 176.


4.
The following is a PBE calculation of SbRuCl2 after structural relaxation, from Alexandria.

Structure (POSCAR):
```
SbRuCl2
1.0
-3.2509 -0.1721 -0.1687
-0.2010 -0.2739 4.1528
-0.4559 8.1103 0.5129
Sb Cl Ru
1 2 1
Cartesian
-1.9070 2.9985 2.1957
-0.0308 0.5479 0.0346
-2.0405 5.3731 2.3459
-0.1574 2.8000 0.1771
```

The total energy is -4.389 eV/atom. Its uncorrected formation energy is -0.5 eV per formula unit. As for the space-group type: No. 25.


5.
The following is a PBE calculation of Dy6TlAu5 after structural relaxation, from Alexandria.

Structure (POSCAR):
```
Dy6TlAu5
1.0
4.9350 -0.0060 -1.3845
-3.6949 7.1910 -3.7025
-0.1885 -1.0186 8.8316
Tl Au Dy
1 5 6
Cartesian
0.0000 0.0000 0.0000
1.7196 0.2880 6.1398
-1.3579 1.7194 4.6513
0.5258 3.0832 1.8723
2.4095 4.4469 -0.9067
-0.6681 5.8783 -2.3952
0.8687 0.1717 3.1023
1.3829 3.1850 4.9320
2.7431 1.6154 0.2906
-1.6916 4.5510 3.4540
-0.3314 2.9814 -1.1874
0.1829 5.9946 0.6424
```

As for the formation energy: -0.7637 eV/atom. The total energy is -4.627 eV/atom. As for the space-group type: No. 12.


6.
The following is a PBE calculation of PmY3In2 after structural relaxation, from Alexandria.

Structure (POSCAR):
```
PmY3In2
1.0
-5.1287 0.8266 -1.6527
-2.5338 -3.6569 6.0133
3.6078 8.7005 2.1542
Pm Y In
2 6 4
Cartesian
-1.2669 -1.8285 3.0066
0.0000 0.0000 0.0000
0.4100 8.1996 2.8312
-4.4646 -2.3294 3.6836
-2.0739 5.9944 0.4472
-0.7138 1.7042 3.0610
-1.9807 -0.1243 6.0676
-3.3408 4.1660 3.4538
-0.1544 5.0391 2.9989
-2.6338 2.6596 0.5091
-1.4208 3.2106 6.0057
-3.9002 0.8310 3.5159
```

As for the formation energy: -0.3045 eV/atom. The total energy is -5.241 eV/atom. As for the space-group type: No. 65.